Record 1
Density functional theory data (PBE) for an optimized crystal structure of KHgP.

**Volume**: 249.4 Å³ per cell
**Symmetry**: No. 189
**Total energy**: -0.1641 Ry per atom

Cell lengths 7.677, 7.677, 4.887 Å; angles 90.00, 90.00, 120.00 degrees
Fractional coordinates of all 9 atoms:
K: 0.000 0.600 0.000
K: 0.400 0.400 0.000
K: 0.600 0.000 0.000
Hg: 0.000 0.000 0.000
Hg: 0.333 0.667 0.500
Hg: 0.667 0.333 0.500
P: 0.000 0.307 0.500
P: 0.307 0.000 0.500
P: 0.693 0.693 0.500

Record 2
Density functional theory data (PBE) for an optimized crystal structure of LaGdPt.

**Volume**: 209.1 Å³ per cell
**Energy of formation from the pure elements**: -0.29 eV/atom
**Symmetry**: No. 187
**Magnetic moment**: 0.0 μB per cell
**Total energy**: -0.4046 Ry per atom

Cell lengths 5.028, 5.028, 9.553 Å; angles 90.00, 90.00, 120.00 degrees
Fractional coordinates of all 9 atoms:
La: 0.000 0.000 0.000
La: 0.333 0.667 0.352
La: 0.333 0.667 0.648
Gd: 0.000 0.000 0.314
Gd: 0.000 0.000 0.686
Gd: 0.333 0.667 0.000
Pt: 0.667 0.333 0.168
Pt: 0.667 0.333 0.500
Pt: 0.667 0.333 0.832

Record 3
Density functional theory data (PBE) for an optimized crystal structure of Sm2Pt.

**Volume**: 86.0 Å³ per cell
**Energy of formation from the pure elements**: -0.76 eV/atom
**Symmetry**: No. 225
**Magnetic moment**: 0.0 μB per cell
**Total energy**: -0.4350 Ry per atom

Cell lengths 4.954, 4.954, 4.954 Å; angles 60.00, 60.00, 60.00 degrees
Fractional coordinates of all 3 atoms:
Sm: 0.250 0.250 0.250
Sm: 0.750 0.750 0.750
Pt: 0.000 0.000 0.000

Record 4
Density functional theory data (PBE) for an optimized crystal structure of TbGdAu2.

**Volume**: 96.0 Å³ per cell
**Energy of formation from the pure elements**: -0.87 eV/atom
**Symmetry**: No. 38
**Magnetic moment**: 0.0 μB per cell
**Total energy**: -0.3548 Ry per atom

Cell lengths 4.676, 5.811, 5.811 Å; angles 37.45, 90.00, 90.00 degrees
Fractional coordinates of all 4 atoms:
Tb: 0.000 0.000 0.000
Gd: 0.500 0.721 0.721
Au: 0.000 0.271 0.271
Au: 0.500 0.449 0.449

Record 5
Density functional theory data (PBE) for an optimized crystal structure of Tm3Mg3ZnIrAu.

**Volume**: 195.3 Å³ per cell
**Symmetry**: No. 174
**Magnetic moment**: 0.1 μB per cell
**Total energy**: -0.2990 Ry per atom

Cell lengths 7.570, 7.570, 3.936 Å; angles 90.00, 90.00, 120.00 degrees
Fractional coordinates of all 9 atoms:
Tm: 0.093 0.730 0.000
Tm: 0.270 0.363 0.000
Tm: 0.637 0.907 0.000
Mg: 0.410 0.081 0.500
Mg: 0.671 0.590 0.500
Mg: 0.919 0.329 0.500
Zn: 0.000 0.000 0.500
Ir: 0.333 0.667 0.500
Au: 0.667 0.333 0.000

Record 6
Density functional theory data (PBE) for an optimized crystal structure of LuIr.

**Volume**: 40.7 Å³ per cell
**Energy of formation from the pure elements**: -0.40 eV/atom
**Symmetry**: No. 187
**Magnetic moment**: 0.0 μB per cell
**Total energy**: -0.5214 Ry per atom

Cell lengths 3.434, 3.434, 3.988 Å; angles 90.00, 90.00, 120.00 degrees
Fractional coordinates of all 2 atoms:
Lu: 0.000 0.000 0.000
Ir: 0.333 0.667 0.500

Record 7
Density functional theory data (PBE) for an optimized crystal structure of Cs2UCl6.

**Volume**: 301.9 Å³ per cell
**Symmetry**: No. 164
**Magnetic moment**: 2.0 μB per cell
**Total energy**: -0.3386 Ry per atom

Cell lengths 7.542, 7.542, 6.130 Å; angles 90.00, 90.00, 120.00 degrees
Fractional coordinates of all 9 atoms:
Cs: 0.333 0.667 0.231
Cs: 0.667 0.333 0.769
U: 0.000 0.000 0.500
Cl: 0.167 0.334 0.739
Cl: 0.167 0.833 0.739
Cl: 0.334 0.167 0.261
Cl: 0.666 0.833 0.739
Cl: 0.833 0.167 0.261
Cl: 0.833 0.666 0.261

Record 8
Density functional theory data (PBE) for an optimized crystal structure of HfBe2Pd2.

**Volume**: 70.7 Å³ per cell
**Symmetry**: No. 139
**Magnetic moment**: 0.0 μB per cell
**Total energy**: -0.4346 Ry per atom

Cell lengths 5.553, 5.553, 5.553 Å; angles 139.82, 139.82, 58.13 degrees
Fractional coordinates of all 5 atoms:
Hf: 0.000 0.000 0.000
Be: 0.250 0.750 0.500
Be: 0.750 0.250 0.500
Pd: 0.368 0.368 0.000
Pd: 0.632 0.632 0.000

Record 9
Density functional theory data (PBE) for an optimized crystal structure of YBeZn2.

**Volume**: 65.9 Å³ per cell
**Symmetry**: No. 216
**Magnetic moment**: 0.0 μB per cell
**Total energy**: -0.2414 Ry per atom

Cell lengths 4.534, 4.534, 4.534 Å; angles 60.00, 60.00, 60.00 degrees
Fractional coordinates of all 4 atoms:
Y: 0.000 0.000 0.000
Be: 0.750 0.750 0.750
Zn: 0.250 0.250 0.250
Zn: 0.500 0.500 0.500

Record 10
Density functional theory data (PBE) for an optimized crystal structure of BeNbIr.

**Volume**: 163.0 Å³ per cell
**Symmetry**: No. 62
**Magnetic moment**: 0.0 μB per cell
**Total energy**: -0.5947 Ry per atom

Cell lengths 6.196, 3.636, 7.235 Å; angles 90.00, 90.00, 90.00 degrees
Fractional coordinates of all 12 atoms:
Be: 0.221 0.250 0.125
Be: 0.279 0.750 0.625
Be: 0.721 0.250 0.375
Be: 0.779 0.750 0.875
Nb: 0.022 0.750 0.319
Nb: 0.478 0.250 0.819
Nb: 0.522 0.750 0.181
Nb: 0.978 0.250 0.681
Ir: 0.158 0.750 0.934
Ir: 0.342 0.250 0.434
Ir: 0.658 0.750 0.566
Ir: 0.842 0.250 0.066

Record 11
Density functional theory data (PBE) for an optimized crystal structure of TlPIrO.

**Volume**: 145.1 Å³ per cell
**Symmetry**: No. 129
**Magnetic moment**: 0.0 μB per cell
**Total energy**: -0.4215 Ry per atom

Cell lengths 4.009, 4.009, 9.031 Å; angles 90.00, 90.00, 90.00 degrees
Fractional coordinates of all 8 atoms:
Tl: 0.250 0.250 0.122
Tl: 0.750 0.750 0.878
P: 0.250 0.250 0.640
P: 0.750 0.750 0.360
Ir: 0.250 0.750 0.500
Ir: 0.750 0.250 0.500
O: 0.250 0.750 0.000
O: 0.750 0.250 0.000

Record 12
Density functional theory data (PBE) for an optimized crystal structure of Ac2W.

**Volume**: 489.3 Å³ per cell
**Energy of formation from the pure elements**: 1.89 eV/atom
**Symmetry**: No. 227
**Magnetic moment**: 0.0 μB per cell
**Total energy**: -0.3797 Ry per atom

Cell lengths 8.845, 8.845, 8.845 Å; angles 60.00, 60.00, 60.00 degrees
Fractional coordinates of all 6 atoms:
Ac: 0.000 0.000 0.000
Ac: 0.000 0.000 0.500
Ac: 0.000 0.500 0.000
Ac: 0.500 0.000 0.000
W: 0.125 0.125 0.125
W: 0.875 0.875 0.875